Entry 1:
VASP calculation (PBE) on a relaxed structure of NaLiGa2Si4O12.

Results
total magnetization = 0.0 Bohr magnetons per cell
crystal system = monoclinic
raw total energy = -6.97 eV/atom
E_form (uncorrected) = -2451 meV per atom

Geometry as POSCAR:
```
NaLiGa2Si4O12
1.0
6.545 -0.009 -0.001
0.672 6.510 -0.001
1.309 1.179 5.041
O Ga Li Si Na
12 2 1 4 1
direct
0.196 0.028 0.612
0.808 0.965 0.887
0.655 0.638 0.275
0.111 0.622 0.925
0.035 0.192 0.113
0.972 0.804 0.388
0.349 0.358 0.224
0.901 0.380 0.556
0.362 0.345 0.725
0.620 0.099 0.444
0.642 0.651 0.776
0.378 0.889 0.075
0.102 0.898 0.000
0.900 0.100 0.500
0.258 0.742 0.500
0.799 0.615 0.494
0.616 0.795 0.997
0.205 0.384 0.003
0.385 0.201 0.506
0.706 0.294 0.000
```


Entry 2:
VASP calculation (PBE) on a relaxed structure of NaLi3Ga4Si8O24.

Results
total magnetization = 0.0 Bohr magnetons per cell
crystal system = monoclinic
raw total energy = -7.00 eV/atom
E_form (uncorrected) = -2459 meV per atom

Geometry as POSCAR:
```
NaLi3Ga4Si8O24
1.0
7.315 -0.026 0.001
2.106 7.005 0.001
4.038 2.992 8.317
Si Ga O Li Na
8 4 24 3 1
direct
0.283 0.215 0.544
0.785 0.717 0.456
0.787 0.720 0.044
0.214 0.782 0.205
0.218 0.786 0.795
0.717 0.288 0.293
0.712 0.283 0.707
0.280 0.213 0.956
0.523 0.477 0.000
0.477 0.024 0.249
0.023 0.977 0.500
0.976 0.523 0.751
0.424 0.655 0.827
0.841 0.079 0.672
0.658 0.926 0.076
0.262 0.851 0.328
0.344 0.264 0.082
0.473 0.242 0.787
0.654 0.240 0.166
0.267 0.021 0.711
0.239 0.975 0.036
0.734 0.481 0.541
0.736 0.656 0.918
0.141 0.413 0.582
0.236 0.152 0.417
0.149 0.738 0.672
0.345 0.576 0.173
0.848 0.764 0.583
0.587 0.859 0.418
0.979 0.733 0.289
0.074 0.342 0.924
0.760 0.346 0.834
0.025 0.761 0.964
0.921 0.159 0.328
0.758 0.527 0.213
0.519 0.266 0.459
0.118 0.382 0.250
0.879 0.121 0.000
0.618 0.882 0.750
0.416 0.584 0.500
```


Entry 3:
VASP calculation (PBE) on a relaxed structure of Na3LiGa4Si8O24.

Results
total magnetization = 0.0 Bohr magnetons per cell
crystal system = monoclinic
raw total energy = -6.95 eV/atom
E_form (uncorrected) = -2446 meV per atom

Geometry as POSCAR:
```
Na3LiGa4Si8O24
1.0
8.796 0.000 0.000
0.000 5.343 -0.009
0.000 2.254 9.208
Si O Na Ga Li
8 24 3 4 1
direct
0.089 0.699 0.292
0.410 0.692 0.791
0.910 0.202 0.294
0.910 0.798 0.706
0.593 0.807 0.209
0.089 0.301 0.708
0.593 0.193 0.791
0.410 0.308 0.209
0.743 0.791 0.635
0.259 0.698 0.358
0.509 0.912 0.850
0.007 0.582 0.645
0.422 0.230 0.389
0.007 0.418 0.355
0.585 0.274 0.611
0.494 0.589 0.148
0.078 0.774 0.113
0.422 0.770 0.611
0.921 0.275 0.114
0.994 0.080 0.647
0.743 0.209 0.365
0.509 0.088 0.150
0.259 0.302 0.642
0.994 0.920 0.353
0.760 0.192 0.860
0.585 0.726 0.389
0.494 0.411 0.852
0.921 0.725 0.886
0.243 0.692 0.860
0.243 0.308 0.140
0.078 0.226 0.887
0.760 0.808 0.140
0.298 0.000 0.000
0.704 0.500 0.000
0.203 0.000 0.500
0.902 0.000 0.000
0.099 0.500 0.000
0.397 0.500 0.500
0.603 0.000 0.500
0.759 0.500 0.500
```


Entry 4:
VASP calculation (PBE) on a relaxed structure of NaLi2GaP.

Results
total magnetization = 0.0 Bohr magnetons per cell
crystal system = tetragonal
raw total energy = -2.30 eV/atom

Geometry as POSCAR:
```
NaLi2GaP
1.0
4.924 0.000 0.000
0.000 4.784 0.000
0.000 0.000 4.924
Na Ga Li P
1 1 2 1
direct
0.000 0.000 0.000
0.500 0.500 0.500
0.500 0.000 0.000
0.000 0.000 0.500
0.000 0.500 0.000
```


Entry 5:
VASP calculation (PBE) on a relaxed structure of NaLiGaPb.

Results
total magnetization = 0.0 Bohr magnetons per cell
crystal system = cubic
raw total energy = -2.60 eV/atom

Geometry as POSCAR:
```
NaLiGaPb
1.0
5.077 0.000 0.000
2.538 4.397 0.000
2.538 1.466 4.145
Li Pb Na Ga
1 1 1 1
direct
0.750 0.750 0.750
0.500 0.500 0.500
0.000 0.000 0.000
0.250 0.250 0.250
```


Entry 6:
VASP calculation (PBE) on a relaxed structure of Na2LiGaPb.

Results
total magnetization = 0.0 Bohr magnetons per cell
crystal system = tetragonal
raw total energy = -2.09 eV/atom

Geometry as POSCAR:
```
Na2LiGaPb
1.0
5.152 0.000 0.000
0.000 4.883 0.000
0.000 0.000 5.152
Pb Na Li Ga
1 2 1 1
direct
0.500 0.500 0.500
0.500 0.000 0.000
0.000 0.000 0.500
0.000 0.000 0.000
0.000 0.500 0.000
```


Entry 7:
VASP calculation (PBE) on a relaxed structure of NaLiGa2Pd.

Results
total magnetization = 0.0 Bohr magnetons per cell
crystal system = tetragonal
raw total energy = -3.13 eV/atom

Geometry as POSCAR:
```
NaLiGa2Pd
1.0
4.813 0.000 0.000
0.000 4.813 0.000
0.000 0.000 4.942
Pd Li Ga Na
1 1 2 1
direct
0.000 0.000 0.000
0.000 0.000 0.500
0.000 0.500 0.000
0.500 0.000 0.000
0.500 0.500 0.500
```


Entry 8:
VASP calculation (PBE) on a relaxed structure of NaLiGaPd.

Results
total magnetization = 0.0 Bohr magnetons per cell
crystal system = cubic
raw total energy = -3.16 eV/atom

Geometry as POSCAR:
```
NaLiGaPd
1.0
4.539 0.000 0.000
2.270 3.931 0.000
2.270 1.310 3.706
Pd Na Li Ga
1 1 1 1
direct
0.000 0.000 0.000
0.750 0.750 0.750
0.500 0.500 0.500
0.250 0.250 0.250
```


Entry 9:
VASP calculation (PBE) on a relaxed structure of Na2LiGa12Pd3.

Results
total magnetization = 0.0 Bohr magnetons per cell
crystal system = trigonal
raw total energy = -3.27 eV/atom

Geometry as POSCAR:
```
Na2LiGa12Pd3
1.0
-3.193 -4.328 4.430
5.684 -0.721 3.965
-1.878 5.173 4.273
Ga Pd Li Na
12 3 1 2
direct
0.197 0.715 0.197
0.197 0.197 0.715
0.626 0.626 0.043
0.043 0.626 0.626
0.715 0.197 0.197
0.285 0.803 0.803
0.957 0.374 0.374
0.803 0.285 0.803
0.374 0.374 0.957
0.803 0.803 0.285
0.626 0.043 0.626
0.374 0.957 0.374
0.000 0.500 0.000
0.500 0.000 0.000
0.000 0.000 0.500
0.000 0.000 0.000
0.388 0.388 0.388
0.612 0.612 0.612
```


Entry 10:
VASP calculation (PBE) on a relaxed structure of NaLi2GaPd.

Results
total magnetization = 0.0 Bohr magnetons per cell
crystal system = tetragonal
raw total energy = -2.88 eV/atom
ΔE to the lowest computed polymorph = 0.000 eV per atom

Geometry as POSCAR:
```
NaLi2GaPd
1.0
4.864 0.000 0.000
0.000 4.864 0.000
0.000 0.000 4.816
Li Ga Pd Na
2 1 1 1
direct
0.000 0.500 0.000
0.500 0.000 0.000
0.000 0.000 0.500
0.000 0.000 0.000
0.500 0.500 0.500
```


Entry 11:
VASP calculation (PBE) on a relaxed structure of NaLi2GaPd.

Results
total magnetization = 0.0 Bohr magnetons per cell
crystal system = tetragonal
raw total energy = -2.73 eV/atom
ΔE to the lowest computed polymorph = 0.150 eV per atom

Geometry as POSCAR:
```
NaLi2GaPd
1.0
4.934 0.000 0.000
0.000 4.716 0.000
0.000 0.000 4.934
Na Pd Ga Li
1 1 1 2
direct
0.500 0.500 0.500
0.000 0.500 0.000
0.000 0.000 0.000
0.500 0.000 0.000
0.000 0.000 0.500
```


Entry 12:
VASP calculation (PBE) on a relaxed structure of NaLiGaPt2.

Results
total magnetization = 0.0 Bohr magnetons per cell
crystal system = tetragonal
raw total energy = -3.73 eV/atom

Geometry as POSCAR:
```
NaLiGaPt2
1.0
-4.433 -0.145 1.587
-1.235 -2.755 -3.700
1.028 -3.845 2.520
Li Na Pt Ga
1 1 2 1
direct
0.000 0.500 0.000
0.500 0.500 0.500
0.500 0.000 0.000
0.000 0.000 0.500
0.000 0.000 0.000
```